# GGA-PBE BaVP2, optimized geometry
# **Formation enthalpy at 0 K**: -0.65 eV/atom
# **E above lowest polymorph**: 0 meV per atom
data_BaVP2
_chemical_formula_sum 'Ba4 V4 P8'
_space_group_name_H-M_alt 'I 41/a m d'
_space_group_IT_number 141
_cell_length_a 5.3492
_cell_length_b 5.3492
_cell_length_c 14.4369
_cell_angle_alpha 90.00
_cell_angle_beta 90.00
_cell_angle_gamma 90.00
loop_
_space_group_symop_operation_xyz
'x,y,z'
'-x,-y,-z'
'-y+1/4,x+3/4,z+1/4'
'y+1/4,-x+3/4,-z+1/4'
'-x+1/2,-y,z+1/2'
'x+1/2,y,-z+1/2'
'y+1/4,-x+1/4,z+3/4'
'-y+1/4,x+1/4,-z+3/4'
'x,-y,-z'
'-x,y,z'
'-y+1/4,-x+1/4,-z+3/4'
'y+1/4,x+1/4,z+3/4'
'-x+1/2,y,-z+1/2'
'x+1/2,-y,z+1/2'
'y+1/4,x+3/4,-z+1/4'
'-y+1/4,-x+3/4,z+1/4'
'x+1/2,y+1/2,z+1/2'
'-x+1/2,-y+1/2,-z+1/2'
'-y+3/4,x+1/4,z+3/4'
'y+3/4,-x+1/4,-z+3/4'
'-x,-y+1/2,z'
'x,y+1/2,-z'
'y+3/4,-x+3/4,z+1/4'
'-y+3/4,x+3/4,-z+1/4'
'x+1/2,-y+1/2,-z+1/2'
'-x+1/2,y+1/2,z+1/2'
'-y+3/4,-x+3/4,-z+1/4'
'y+3/4,x+3/4,z+1/4'
'-x,y+1/2,-z'
'x,-y+1/2,z'
'y+3/4,x+1/4,-z+3/4'
'-y+3/4,-x+1/4,z+3/4'
loop_
_atom_site_label
_atom_site_type_symbol
_atom_site_fract_x
_atom_site_fract_y
_atom_site_fract_z
Ba1 Ba 0.0000 0.2500 0.3750
V1 V 0.0000 0.2500 0.8750
P1 P 0.0000 0.0000 0.0000

=====

# GGA-PBE BaVP2, optimized geometry
# **Formation enthalpy at 0 K**: -0.57 eV/atom
# **E above lowest polymorph**: 86 meV per atom
data_BaVP2
_chemical_formula_sum 'Ba3 V3 P6'
_space_group_name_H-M_alt 'R -3 m'
_space_group_IT_number 166
_space_group_name_Hall '-R 3 2"'
_cell_length_a 3.8163
_cell_length_b 3.8163
_cell_length_c 20.7180
_cell_angle_alpha 90.00
_cell_angle_beta 90.00
_cell_angle_gamma 120.00
loop_
_atom_site_label
_atom_site_type_symbol
_atom_site_fract_x
_atom_site_fract_y
_atom_site_fract_z
Ba1 Ba 0.0000 0.0000 0.0000
V1 V 0.0000 0.0000 0.5000
P1 P 0.0000 0.0000 0.2244

=====

# GGA-PBE BaVP, optimized geometry
# **Formation enthalpy at 0 K**: -0.76 eV/atom
data_BaVP
_chemical_formula_sum 'Ba2 V2 P2'
_space_group_name_H-M_alt 'P 4/n m m'
_space_group_IT_number 129
_cell_length_a 3.8455
_cell_length_b 3.8455
_cell_length_c 10.7484
_cell_angle_alpha 90.00
_cell_angle_beta 90.00
_cell_angle_gamma 90.00
loop_
_space_group_symop_operation_xyz
'x,y,z'
'-x,-y,-z'
'-y+1/2,x,z'
'y+1/2,-x,-z'
'-x+1/2,-y+1/2,z'
'x+1/2,y+1/2,-z'
'y,-x+1/2,z'
'-y,x+1/2,-z'
'x+1/2,-y,-z'
'-x+1/2,y,z'
'-y,-x,-z'
'y,x,z'
'-x,y+1/2,-z'
'x,-y+1/2,z'
'y+1/2,x+1/2,-z'
'-y+1/2,-x+1/2,z'
loop_
_atom_site_label
_atom_site_type_symbol
_atom_site_fract_x
_atom_site_fract_y
_atom_site_fract_z
Ba1 Ba 0.2500 0.2500 0.2044
V1 V 0.2500 0.7500 0.5000
P1 P 0.2500 0.2500 0.6405

=====

Number 1: size of the total moment 2.71 μB per cell, E -0.450 Ry/atom, calculated density 4.02 g/cm3. Number 2: size of the total moment 3.14 μB per cell, E -0.443 Ry/atom, calculated density 4.77 g/cm3. Number 3: size of the total moment 0.00 μB per cell, E -0.459 Ry/atom, calculated density 4.58 g/cm3.